First-principles (PBE-GGA) data for crystalline LaBeIn at its relaxed geometry, as listed in Alexandria via LeMat-Bulk.

```
6
Lattice="5.962 0.001 -0.019 1.857 4.324 0.000 -1.032 -2.119 5.477" Properties=species:S:1:pos:R:3 pbc="T T T"
Be 5.706 3.119 3.079
Be 1.470 2.373 1.250
La 2.398 1.976 4.157
La 4.635 1.016 1.041
In 1.614 -0.248 1.971
In 5.421 0.679 4.257
```

Computed properties:
total moment: 0.0 μB/f.u.
polymorph energy (0 for the lowest one): 2 kJ/mol of formula units

=====

First-principles (PBE-GGA) data for crystalline La2BeIn at its relaxed geometry, as listed in Alexandria via LeMat-Bulk.

```
16
Lattice="-5.436 4.522 -0.428 -3.644 -4.528 -1.554 -0.855 -2.681 9.817" Properties=species:S:1:pos:R:3 pbc="T T T"
Be -2.069 -2.186 3.737
Be -3.371 -3.805 3.182
Be -4.318 -5.790 7.869
Be -1.977 -2.881 8.867
In -2.270 1.673 0.449
In -5.201 2.691 4.358
In -7.451 -0.914 8.489
In -4.520 -1.931 4.580
La -2.547 0.767 3.739
La -3.468 -1.569 1.058
La -4.741 1.230 7.535
La -2.073 -0.645 6.743
La -7.263 0.032 5.293
La -6.136 0.307 1.849
La -4.797 -2.837 7.870
La -5.014 3.637 1.161
```

Computed properties:
total moment: 0.0 μB/f.u.
polymorph energy (0 for the lowest one): 9 kJ/mol of formula units

=====

First-principles (PBE-GGA) data for crystalline LaBeIn at its relaxed geometry, as listed in Alexandria via LeMat-Bulk.

```
3
Lattice="0.000 3.466 3.466 3.466 0.000 3.466 3.466 3.466 0.000" Properties=species:S:1:pos:R:3 pbc="T T T"
In 0.000 0.000 0.000
La 1.733 1.733 1.733
Be 5.198 5.198 5.198
```

Computed properties:
total moment: 0.0 μB/f.u.
polymorph energy (0 for the lowest one): 118 kJ/mol of formula units

=====

First-principles (PBE-GGA) data for crystalline La2BeIn at its relaxed geometry, as listed in Alexandria via LeMat-Bulk.

```
16
Lattice="-4.609 3.571 3.955 0.791 -3.392 3.985 8.707 6.070 3.437" Properties=species:S:1:pos:R:3 pbc="T T T"
La 4.975 4.093 6.010
La 3.874 6.887 5.093
La 0.225 2.754 2.299
La -3.012 3.809 3.840
La 3.153 1.102 3.826
La 7.111 5.832 3.552
La 1.737 5.148 7.551
La -0.084 2.157 5.367
In 4.153 4.222 2.769
In -0.054 5.419 4.623
In 4.696 6.758 8.334
In 0.195 -0.509 3.043
Be -2.093 0.880 3.041
Be -1.724 -0.701 4.898
Be 2.656 2.219 6.752
Be 2.234 4.030 4.624
```

Computed properties:
total moment: 0.0 μB/f.u.
polymorph energy (0 for the lowest one): 14 kJ/mol of formula units

=====

First-principles (PBE-GGA) data for crystalline La2BeIn at its relaxed geometry, as listed in Alexandria via LeMat-Bulk.

```
8
Lattice="6.344 0.000 -0.001 -2.442 5.960 0.003 -2.502 -1.640 5.840" Properties=species:S:1:pos:R:3 pbc="T T T"
Be -1.379 2.985 5.732
Be 1.874 -1.033 5.152
In 1.879 3.396 1.957
In -0.762 0.090 1.493
La 1.771 2.177 5.163
La -1.261 -0.129 4.919
La -1.283 3.083 2.803
La 2.392 0.201 2.267
```

Computed properties:
total moment: 0.0 μB/f.u.
polymorph energy (0 for the lowest one): 31 kJ/mol of formula units

=====

First-principles (PBE-GGA) data for crystalline La2BeIn at its relaxed geometry, as listed in Alexandria via LeMat-Bulk.

```
4
Lattice="0.000 3.823 3.823 3.823 0.000 3.823 3.823 3.823 0.000" Properties=species:S:1:pos:R:3 pbc="T T T"
La 5.734 5.734 5.734
La 1.911 1.911 1.911
Be 0.000 0.000 0.000
In 3.823 3.823 3.823
```

Computed properties:
total moment: 0.0 μB/f.u.
polymorph energy (0 for the lowest one): 47 kJ/mol of formula units

=====

First-principles (PBE-GGA) data for crystalline LaBeIn at its relaxed geometry, as listed in Alexandria via LeMat-Bulk.

```
6
Lattice="4.515 -2.607 0.000 0.000 5.214 0.000 0.000 0.000 6.464" Properties=species:S:1:pos:R:3 pbc="T T T"
Be 0.000 0.000 0.000
Be 0.000 0.000 3.232
La 1.505 2.607 4.848
La 3.010 0.000 1.616
In 3.010 0.000 4.848
In 1.505 2.607 1.616
```

Computed properties:
total moment: 0.0 μB/f.u.
polymorph energy (0 for the lowest one): 121 kJ/mol of formula units

=====

First-principles (PBE-GGA) data for crystalline LaBe2In at its relaxed geometry, as listed in Alexandria via LeMat-Bulk.

```
4
Lattice="4.246 0.000 0.000 0.000 3.709 0.006 0.000 -0.009 5.558" Properties=species:S:1:pos:R:3 pbc="T T T"
Be 0.000 0.919 5.550
Be 4.246 0.923 2.790
La 2.123 2.775 4.173
In 2.123 0.925 1.391
```

Computed properties:
energy: -3.51 eV/atom
total moment: 0.0 μB/f.u.

=====

First-principles (PBE-GGA) data for crystalline LaBeIn at its relaxed geometry, as listed in Alexandria via LeMat-Bulk.

```
6
Lattice="-5.722 -3.628 0.604 -1.079 -2.057 3.192 -2.567 5.766 2.846" Properties=species:S:1:pos:R:3 pbc="T T T"
Be -6.981 -1.738 3.800
Be -6.667 -0.031 2.566
La -4.743 -2.223 1.803
La -4.424 0.906 3.935
In -7.992 0.259 4.745
In -2.050 -0.058 1.672
```

Computed properties:
total moment: 0.0 μB/f.u.
polymorph energy (0 for the lowest one): 35 kJ/mol of formula units

=====

First-principles (PBE-GGA) data for crystalline LaBeIn at its relaxed geometry, as listed in Alexandria via LeMat-Bulk.

```
6
Lattice="4.437 0.000 0.000 2.219 5.960 -0.005 2.219 2.278 5.507" Properties=species:S:1:pos:R:3 pbc="T T T"
In 4.689 3.886 2.122
In 2.470 4.999 0.455
La 2.470 1.463 1.288
La 6.908 5.586 4.039
Be 3.577 2.603 4.044
Be 5.797 2.603 4.045
```

Computed properties:
total moment: 0.0 μB/f.u.
polymorph energy (0 for the lowest one): 27 kJ/mol of formula units

=====

First-principles (PBE-GGA) data for crystalline La2BeIn at its relaxed geometry, as listed in Alexandria via LeMat-Bulk.

```
4
Lattice="4.910 0.000 0.000 0.000 3.929 0.000 0.000 0.000 5.482" Properties=species:S:1:pos:R:3 pbc="T T T"
La 0.000 1.965 5.073
La 2.455 1.965 1.635
In 0.000 0.000 2.514
Be 2.455 0.000 4.189
```

Computed properties:
total moment: 0.0 μB/f.u.
polymorph energy (0 for the lowest one): 39 kJ/mol of formula units

=====

First-principles (PBE-GGA) data for crystalline LaBeIn at its relaxed geometry, as listed in Alexandria via LeMat-Bulk.

```
3
Lattice="4.715 0.000 0.000 2.357 4.083 0.000 2.357 1.361 3.850" Properties=species:S:1:pos:R:3 pbc="T T T"
Be 2.357 1.361 0.962
La 4.715 2.722 1.925
In 0.000 0.000 0.000
```

Computed properties:
total moment: 0.0 μB/f.u.
polymorph energy (0 for the lowest one): 5 kJ/mol of formula units

=====

First-principles (PBE-GGA) data for crystalline LaBeIn at its relaxed geometry, as listed in Alexandria via LeMat-Bulk.

```
6
Lattice="4.184 0.005 0.005 -2.097 5.875 -0.042 2.094 -1.047 5.695" Properties=species:S:1:pos:R:3 pbc="T T T"
La 1.465 4.760 3.560
La 1.465 3.451 0.002
In 1.468 0.163 1.206
In 3.558 2.173 2.398
Be 1.469 1.212 3.671
Be 5.651 0.076 5.625
```

Computed properties:
total moment: 0.0 μB/f.u.
polymorph energy (0 for the lowest one): 0 kJ/mol of formula units

=====

First-principles (PBE-GGA) data for crystalline LaBeIn at its relaxed geometry, as listed in Alexandria via LeMat-Bulk.

```
6
Lattice="5.811 0.000 0.000 1.532 3.937 0.006 1.969 1.482 6.160" Properties=species:S:1:pos:R:3 pbc="T T T"
Be 4.290 2.994 1.159
Be 4.886 2.760 3.194
In 4.837 0.516 1.500
In 6.534 4.381 4.693
La 3.755 3.192 6.030
La 2.003 1.620 3.129
```

Computed properties:
total moment: 0.0 μB/f.u.
polymorph energy (0 for the lowest one): 25 kJ/mol of formula units

=====

First-principles (PBE-GGA) data for crystalline La2BeIn at its relaxed geometry, as listed in Alexandria via LeMat-Bulk.

```
8
Lattice="-2.950 -4.124 -3.398 3.352 -5.279 0.578 -5.141 -2.976 2.939" Properties=species:S:1:pos:R:3 pbc="T T T"
La -2.312 -9.302 -0.064
La -2.238 -5.932 -2.612
La 0.434 -5.799 0.005
La -2.401 -3.740 1.054
Be -1.123 -3.165 -1.437
Be 0.168 -8.307 -1.513
In -1.820 -7.039 2.350
In -4.046 -6.605 0.448
```

Computed properties:
total moment: 0.0 μB/f.u.
polymorph energy (0 for the lowest one): 35 kJ/mol of formula units

=====

First-principles (PBE-GGA) data for crystalline LaBe2In at its relaxed geometry, as listed in Alexandria via LeMat-Bulk.

```
8
Lattice="4.650 0.000 0.000 0.000 4.650 0.000 2.325 2.325 8.288" Properties=species:S:1:pos:R:3 pbc="T T T"
In 2.325 4.650 4.144
In 2.325 2.325 0.000
La 0.000 0.000 0.000
La 4.650 2.325 4.144
Be 2.324 3.487 2.072
Be 2.326 1.162 2.072
Be 3.487 4.649 6.216
Be 5.812 4.650 6.216
```

Computed properties:
energy: -3.61 eV/atom
total moment: 0.0 μB/f.u.

=====

First-principles (PBE-GGA) data for crystalline LaBeIn3 at its relaxed geometry, as listed in Alexandria via LeMat-Bulk.

```
5
Lattice="-4.346 1.757 1.679 0.880 -2.070 4.442 2.265 4.174 1.497" Properties=species:S:1:pos:R:3 pbc="T T T"
In -2.173 0.878 0.840
In 1.133 2.087 0.748
In 0.440 -1.035 2.221
Be 0.000 0.000 0.000
La -0.600 1.930 3.809
```

Computed properties:
total moment: 0.0 μB/f.u.
polymorph energy (0 for the lowest one): 0 kJ/mol of formula units

=====

First-principles (PBE-GGA) data for crystalline LaBeIn at its relaxed geometry, as listed in Alexandria via LeMat-Bulk.

```
12
Lattice="6.492 0.000 0.000 0.000 4.811 0.000 0.000 0.000 8.972" Properties=species:S:1:pos:R:3 pbc="T T T"
Be 2.263 1.203 0.773
Be 5.509 1.203 3.713
Be 0.984 3.608 5.259
Be 4.230 3.608 8.199
In 3.167 1.203 7.091
In 3.326 3.608 1.881
In 6.413 1.203 6.367
In 0.080 3.608 2.605
La 1.256 3.608 8.266
La 4.502 3.608 5.192
La 1.991 1.203 3.780
La 5.237 1.203 0.706
```

Computed properties:
total moment: 0.0 μB/f.u.
polymorph energy (0 for the lowest one): 27 kJ/mol of formula units

=====

First-principles (PBE-GGA) data for crystalline LaBeIn at its relaxed geometry, as listed in Alexandria via LeMat-Bulk.

```
6
Lattice="-2.768 3.430 1.083 -1.895 -0.385 -3.627 -2.711 -6.591 4.448" Properties=species:S:1:pos:R:3 pbc="T T T"
In -3.491 0.631 0.652
In -4.209 -3.959 3.855
La -2.344 -0.561 -2.149
La -5.494 -1.388 1.925
Be -2.866 -1.850 0.592
Be -2.461 -2.200 2.747
```

Computed properties:
total moment: 0.0 μB/f.u.
polymorph energy (0 for the lowest one): 24 kJ/mol of formula units

=====

First-principles (PBE-GGA) data for crystalline LaBe2In at its relaxed geometry, as listed in Alexandria via LeMat-Bulk.

```
4
Lattice="3.973 0.000 0.000 0.000 4.123 0.001 0.000 2.046 4.928" Properties=species:S:1:pos:R:3 pbc="T T T"
Be 1.987 0.778 1.082
Be 0.000 0.768 0.375
In 0.000 2.828 1.902
La 1.987 4.880 4.036
```

Computed properties:
energy: -3.77 eV/atom
total moment: 0.0 μB/f.u.